DFT (GGA-PBEsol) results for an optimized crystal structure of MgRu2PbS.

```
data_MgRu2PbS
_cell_length_a 4.9888
_cell_length_b 4.9888
_cell_length_c 5.1118
_cell_angle_alpha 90.00
_cell_angle_beta 90.00
_cell_angle_gamma 90.00
_space_group_name_H-M_alt 'P 4/m m m'
_space_group_IT_number 123
_space_group_name_Hall '-P 4 2'
loop_
_atom_site_label
_atom_site_fract_x
_atom_site_fract_y
_atom_site_fract_z
Mg1 0.0000 0.0000 0.0000
Ru1 0.0000 0.5000 0.5000
Pb1 0.5000 0.5000 0.5000
S1 0.5000 0.5000 0.0000
```

energy = -4.391 eV per atom